Material: MgRu4Cl
Method: DFT, SCAN
State: PBEsol geometry

a = 5.1392 Å, b = 5.1392 Å, c = 5.1392 Å
α = 60.00°, β = 60.00°, γ = 60.00°
Last column: nearest neighbours and their distance in Å.
Positions (direct):
Mg  0.0000  0.0000  0.0000  12 Ru 3.01, 4 Cl 3.15
Ru  0.3755  0.3755  0.3755  6 Ru 2.56-2.58
Ru  0.3755  0.3755  0.8736  6 Ru 2.56-2.58
Ru  0.3755  0.8736  0.3755  6 Ru 2.56-2.58
Ru  0.8736  0.3755  0.3755  6 Ru 2.56-2.58
Cl  0.7500  0.7500  0.7500  12 Ru 3.01, 4 Mg 3.15

## Properties
As for the formation energy from raw total energies: 4.7 eV per formula unit. The value obtained for the density of states at the Fermi level is 0.7942 states/eV/atom.